# ZnRuSe

A geometry-optimized ZnRuSe structure (PBEsol, Alexandria via LeMat-Bulk).

a b c (Å): 4.1268 4.1268 4.1268
angles (deg): 60.00 60.00 60.00
Last column: nearest neighbours and their distance in Å.
Element x y z (fractional)
Zn 0.0000 0.0000 0.0000  4 Se 2.53
Se 0.2500 0.2500 0.2500  4 Ru 2.53, 4 Zn 2.53
Ru 0.5000 0.5000 0.5000  4 Se 2.53

Calculated values
The uncorrected formation energy comes out at 0.482 eV/atom. The energy relative to the lowest polymorph listed for this composition comes out at 46.74 kJ per mole of atoms.

***

# ZrRuSe4

A geometry-optimized ZrRuSe4 structure (PBEsol, Alexandria via LeMat-Bulk).

a b c (Å): 5.3919 5.3919 5.3919
angles (deg): 60.00 60.00 60.00
Last column: nearest neighbours and their distance in Å.
Element x y z (fractional)
Ru 0.0000 0.0000 0.0000  12 Se 3.16, 4 Zr 3.30
Se 0.3743 0.8770 0.3743  6 Se 2.68-2.71
Se 0.8770 0.3743 0.3743  6 Se 2.68-2.71
Zr 0.7500 0.7500 0.7500  12 Se 3.16, 4 Ru 3.30
Se 0.3743 0.3743 0.3743  6 Se 2.68-2.71
Se 0.3743 0.3743 0.8770  6 Se 2.68-2.71

Calculated values
The uncorrected formation energy comes out at 0.714 eV/atom.

***

# ZrRu2Se

A geometry-optimized ZrRu2Se structure (PBEsol, Alexandria via LeMat-Bulk).

a b c (Å): 3.8547 3.8547 4.9793
angles (deg): 112.77 112.77 90.00
Last column: nearest neighbours and their distance in Å.
Element x y z (fractional)
Ru 0.2500 0.7500 0.5000  4 Ru 2.73, 4 Zr 2.84, 4 Se 2.84
Se 0.5000 0.5000 0.0000  4 Zr 2.73, 8 Ru 2.84
Ru 0.7500 0.2500 0.5000  4 Ru 2.73, 4 Zr 2.84, 4 Se 2.84
Zr 0.0000 0.0000 0.0000  4 Se 2.73, 8 Ru 2.84

Calculated values
The uncorrected formation energy comes out at -0.174 eV/atom.

***

# SiRu4

A geometry-optimized SiRu4 structure (PBEsol, Alexandria via LeMat-Bulk).

a b c (Å): 4.6536 4.6536 4.6536
angles (deg): 109.47 109.47 109.47
Last column: nearest neighbours and their distance in Å.
Element x y z (fractional)
Si 0.0000 0.0000 0.0000  8 Ru 2.33
Ru 0.0000 0.0000 0.5000  2 Si 2.33
Ru 0.5000 0.0000 0.0000  2 Si 2.33
Ru 0.5000 0.5000 0.5000  2 Si 2.33
Ru 0.0000 0.5000 0.0000  2 Si 2.33

Calculated values
The uncorrected formation energy comes out at 0.902 eV/atom. The energy relative to the lowest polymorph listed for this composition comes out at 95.92 kJ per mole of atoms.

***

# SiRu4

A geometry-optimized SiRu4 structure (PBEsol, Alexandria via LeMat-Bulk).

a b c (Å): 3.7599 4.5805 4.5805
angles (deg): 80.30 65.77 65.77
Last column: nearest neighbours and their distance in Å.
Element x y z (fractional)
Ru 0.1945 0.4090 0.2020  9 Ru 2.60-2.69, 3 Si 2.61-2.68
Ru 0.3965 0.7980 0.4090  9 Ru 2.60-2.69, 3 Si 2.61-2.68
Si 0.0000 0.0000 0.0000  12 Ru 2.61-2.68
Ru 0.6035 0.2020 0.5910  9 Ru 2.60-2.69, 3 Si 2.61-2.68
Ru 0.8055 0.5910 0.7980  9 Ru 2.60-2.69, 3 Si 2.61-2.68

Calculated values
The uncorrected formation energy comes out at -0.093 eV/atom. The energy relative to the lowest polymorph listed for this composition comes out at 0.00 kJ per mole of atoms.

***

# SiRu3

A geometry-optimized SiRu3 structure (PBEsol, Alexandria via LeMat-Bulk).

a b c (Å): 2.8226 4.3121 4.3121
angles (deg): 90.00 90.00 90.00
Last column: nearest neighbours and their distance in Å.
Element x y z (fractional)
Ru 0.5000 0.5000 0.5000  10 Ru 2.58-2.82
Ru 0.0000 0.5000 0.0000  6 Ru 2.58-2.82, 4 Si 2.58
Ru 0.0000 0.0000 0.5000  6 Ru 2.58-2.82, 4 Si 2.58
Si 0.5000 0.0000 0.0000  8 Ru 2.58, 2 Si 2.82

Calculated values
The uncorrected formation energy comes out at -0.009 eV/atom.

***

# Si7Ru

A geometry-optimized Si7Ru structure (PBEsol, Alexandria via LeMat-Bulk).

a b c (Å): 5.3340 5.3340 5.3340
angles (deg): 60.00 60.00 60.00
Last column: nearest neighbours and their distance in Å.
Element x y z (fractional)
Si 0.0000 0.0000 0.5000  2 Ru 2.67, 10 Si 2.67
Si 0.0000 0.5000 0.5000  10 Si 2.67, 2 Ru 2.67
Si 0.5000 0.5000 0.5000  12 Si 2.67
Si 0.0000 0.5000 0.0000  10 Si 2.67, 2 Ru 2.67
Si 0.5000 0.5000 0.0000  10 Si 2.67, 2 Ru 2.67
Ru 0.0000 0.0000 0.0000  12 Si 2.67
Si 0.5000 0.0000 0.5000  10 Si 2.67, 2 Ru 2.67
Si 0.5000 0.0000 0.0000  10 Si 2.67, 2 Ru 2.67

Calculated values
The uncorrected formation energy comes out at 0.224 eV/atom.

***

# Si2Ru

A geometry-optimized Si2Ru structure (PBEsol, Alexandria via LeMat-Bulk).

a b c (Å): 2.8701 4.5773 6.5225
angles (deg): 102.76 90.00 108.27
Last column: nearest neighbours and their distance in Å.
Element x y z (fractional)
Ru 0.9558 0.9116 0.2059  7 Si 2.49-2.51
Si 0.6615 0.3231 0.1036  5 Ru 2.49-2.50, 2 Si 2.69
Si 0.3537 0.7075 0.4611  3 Si 2.45-2.47, 2 Ru 2.51
Si 0.6463 0.2925 0.5389  3 Si 2.45-2.47, 2 Ru 2.51
Si 0.3385 0.6769 0.8964  5 Ru 2.49-2.50, 2 Si 2.69
Ru 0.0442 0.0884 0.7941  7 Si 2.49-2.51

Calculated values
The uncorrected formation energy comes out at -0.348 eV/atom.

***

# Si3Ru5

A geometry-optimized Si3Ru5 structure (PBEsol, Alexandria via LeMat-Bulk).

a b c (Å): 5.1684 6.8176 6.8176
angles (deg): 120.00 90.00 90.00
Last column: nearest neighbours and their distance in Å.
Element x y z (fractional)
Ru 0.0000 0.3333 0.6667  6 Si 2.46, 2 Ru 2.58
Ru 0.7500 0.2475 0.0000  3 Si 2.37-2.42
Si 0.2500 0.0000 0.3978  7 Ru 2.37-2.46
Ru 0.0000 0.6667 0.3333  6 Si 2.46, 2 Ru 2.58
Si 0.2500 0.6022 0.6022  7 Ru 2.37-2.46
Ru 0.5000 0.3333 0.6667  6 Si 2.46, 2 Ru 2.58
Ru 0.2500 0.7525 0.0000  3 Si 2.37-2.42
Si 0.2500 0.3978 0.0000  7 Ru 2.37-2.46
Ru 0.2500 0.0000 0.7525  3 Si 2.37-2.42
Ru 0.7500 0.0000 0.2475  3 Si 2.37-2.42
Ru 0.7500 0.7525 0.7525  3 Si 2.37-2.42
Si 0.7500 0.0000 0.6022  7 Ru 2.37-2.46
Ru 0.5000 0.6667 0.3333  6 Si 2.46, 2 Ru 2.58
Ru 0.2500 0.2475 0.2475  3 Si 2.37-2.42
Si 0.7500 0.6022 0.0000  7 Ru 2.37-2.46
Si 0.7500 0.3978 0.3978  7 Ru 2.37-2.46

Calculated values
The uncorrected formation energy comes out at -0.436 eV/atom. The energy relative to the lowest polymorph listed for this composition comes out at 4.89 kJ per mole of atoms.

***

# Si3Ru

A geometry-optimized Si3Ru structure (PBEsol, Alexandria via LeMat-Bulk).

a b c (Å): 4.7265 4.7265 4.7265
angles (deg): 90.00 90.00 90.00
Last column: nearest neighbours and their distance in Å.
Element x y z (fractional)
Si 0.5000 0.0000 0.2500  2 Si 2.36, 4 Ru 2.64
Si 0.7500 0.5000 0.0000  2 Si 2.36, 4 Ru 2.64
Ru 0.0000 0.0000 0.0000  12 Si 2.64
Si 0.2500 0.5000 0.0000  2 Si 2.36, 4 Ru 2.64
Si 0.5000 0.0000 0.7500  2 Si 2.36, 4 Ru 2.64
Si 0.0000 0.2500 0.5000  2 Si 2.36, 4 Ru 2.64
Si 0.0000 0.7500 0.5000  2 Si 2.36, 4 Ru 2.64
Ru 0.5000 0.5000 0.5000  12 Si 2.64

Calculated values
The uncorrected formation energy comes out at -0.018 eV/atom.

***

# Si2Ru

A geometry-optimized Si2Ru structure (PBEsol, Alexandria via LeMat-Bulk).

a b c (Å): 6.4523 6.4523 8.1490
angles (deg): 90.00 90.00 102.68
Last column: nearest neighbours and their distance in Å.
Element x y z (fractional)
Ru 0.6874 0.6874 0.6816  8 Si 2.44-2.51
Si 0.1494 0.4058 0.0573  4 Ru 2.44-2.51, 5 Si 2.55-2.67
Si 0.5751 0.3216 0.7762  4 Ru 2.44-2.49, 5 Si 2.52-2.67
Si 0.4058 0.1494 0.0573  4 Ru 2.44-2.51, 5 Si 2.55-2.67
Si 0.6494 0.9058 0.4427  4 Ru 2.44-2.51, 5 Si 2.55-2.67
Si 0.5942 0.8506 0.9427  4 Ru 2.44-2.51, 5 Si 2.55-2.67
Ru 0.2137 0.7863 0.0000  8 Si 2.44-2.47
Ru 0.7863 0.2137 0.0000  8 Si 2.44-2.47
Si 0.9058 0.6494 0.4427  4 Ru 2.44-2.51, 5 Si 2.55-2.67
Si 0.8506 0.5942 0.9427  4 Ru 2.44-2.51, 5 Si 2.55-2.67
Si 0.4249 0.6784 0.2238  4 Ru 2.44-2.49, 5 Si 2.52-2.67
Ru 0.7137 0.2863 0.5000  8 Si 2.44-2.47
Ru 0.3126 0.3126 0.3184  8 Si 2.44-2.51
Si 0.3506 0.0942 0.5573  4 Ru 2.44-2.51, 5 Si 2.55-2.67
Si 0.0942 0.3506 0.5573  4 Ru 2.44-2.51, 5 Si 2.55-2.67
Ru 0.2863 0.7137 0.5000  8 Si 2.44-2.47
Si 0.1784 0.9249 0.2762  4 Ru 2.44-2.49, 5 Si 2.52-2.67
Si 0.0751 0.8216 0.7238  4 Ru 2.44-2.49, 5 Si 2.52-2.67
Ru 0.1874 0.1874 0.8184  8 Si 2.44-2.51
Si 0.6784 0.4249 0.2238  4 Ru 2.44-2.49, 5 Si 2.52-2.67
Si 0.8216 0.0751 0.7238  4 Ru 2.44-2.49, 5 Si 2.52-2.67
Ru 0.8126 0.8126 0.1816  8 Si 2.44-2.51
Si 0.9249 0.1784 0.2762  4 Ru 2.44-2.49, 5 Si 2.52-2.67
Si 0.3216 0.5751 0.7762  4 Ru 2.44-2.49, 5 Si 2.52-2.67

Calculated values
The uncorrected formation energy comes out at -0.610 eV/atom.

***

# Si3Ru

A geometry-optimized Si3Ru structure (PBEsol, Alexandria via LeMat-Bulk).

a b c (Å): 2.8195 2.8195 6.8531
angles (deg): 90.00 90.00 90.00
Last column: nearest neighbours and their distance in Å.
Element x y z (fractional)
Si 0.0000 0.0000 0.5000  12 Si 2.77-2.82
Ru 0.0000 0.0000 0.0000  8 Si 2.50
Si 0.5000 0.5000 0.7801  4 Ru 2.50, 4 Si 2.77
Si 0.5000 0.5000 0.2199  4 Ru 2.50, 4 Si 2.77

Calculated values
The uncorrected formation energy comes out at -0.111 eV/atom.

***

# SiRu3

A geometry-optimized SiRu3 structure (PBEsol, Alexandria via LeMat-Bulk).

a b c (Å): 2.7959 2.7959 6.5653
angles (deg): 90.00 90.00 90.00
Last column: nearest neighbours and their distance in Å.
Element x y z (fractional)
Ru 0.0000 0.0000 0.2783  4 Si 2.45, 4 Ru 2.69
Ru 0.5000 0.5000 0.0000  12 Ru 2.69-2.80
Ru 0.0000 0.0000 0.7217  4 Si 2.45, 4 Ru 2.69
Si 0.5000 0.5000 0.5000  8 Ru 2.45

Calculated values
The uncorrected formation energy comes out at -0.272 eV/atom.

***

# SiRu3

A geometry-optimized SiRu3 structure (PBEsol, Alexandria via LeMat-Bulk).

a b c (Å): 2.8177 4.2612 5.0169
angles (deg): 115.13 106.31 90.00
Last column: nearest neighbours and their distance in Å.
Element x y z (fractional)
Ru 0.2784 0.3617 0.5568  2 Si 2.38, 4 Ru 2.60
Ru 0.7216 0.8049 0.4432  2 Si 2.38, 4 Ru 2.60
Si 0.0000 0.5835 0.0000  8 Ru 2.38-2.55
Ru 0.5000 0.0833 0.0000  4 Si 2.55, 6 Ru 2.79-2.82

Calculated values
The uncorrected formation energy comes out at -0.247 eV/atom.

***

no.,E_tot (eV/atom)
1,-4.72
2,-5.06
3,-8.49
4,-8.39
5,-9.38
6,-9.08
7,-6.08
8,-7.57
9,-8.95
10,-6.87
11,-7.83
12,-6.96
13,-9.34
14,-9.31